# 1
## SbTe2O (GGA-PBEsol)

Data for an optimized crystal structure of SbTe2O.

* size of the total moment: 0.00 μB per cell
* SG: No. 166
* formation energy (no corrections): 111.3 meV per atom
* DFT total energy: -4.1034 eV/atom
* E above lowest polymorph: 142 meV per atom

a b c (Å): 9.798 9.798 9.798
angles (deg): 18.85 18.85 18.85
Sites, in units of the cell vectors:
Sb (0.000, 0.000, 0.000)
Te (0.105, 0.105, 0.105)
Te (0.895, 0.895, 0.895)
O (0.500, 0.500, 0.500)

# 2
## ZnSbTe2O (GGA-PBEsol)

Data for an optimized crystal structure of ZnSbTe2O.

* size of the total moment: 0.00 μB per cell
* SG: No. 123
* formation energy (no corrections): 169.4 meV per atom
* DFT total energy: -3.5187 eV/atom

a b c (Å): 4.743 4.743 4.804
angles (deg): 90.00 90.00 90.00
Sites, in units of the cell vectors:
Zn (0.000, 0.000, 0.000)
Sb (0.500, 0.500, 0.000)
Te (0.000, 0.500, 0.500)
Te (0.500, 0.000, 0.500)
O (0.500, 0.500, 0.500)

# 3
## TlSbO3 (GGA-PBEsol)

Data for an optimized crystal structure of TlSbO3.

* size of the total moment: 0.00 μB per cell
* SG: No. 148
* formation energy (no corrections): -1279.1 meV per atom
* DFT total energy: -5.8662 eV/atom

a b c (Å): 7.772 7.772 7.772
angles (deg): 40.30 40.30 40.30
Sites, in units of the cell vectors:
Tl (0.122, 0.122, 0.122)
Tl (0.878, 0.878, 0.878)
Sb (0.333, 0.333, 0.333)
Sb (0.667, 0.667, 0.667)
O (0.052, 0.671, 0.434)
O (0.329, 0.566, 0.948)
O (0.434, 0.052, 0.671)
O (0.566, 0.948, 0.329)
O (0.671, 0.434, 0.052)
O (0.948, 0.329, 0.566)

# 4
## TlSbO3 (GGA-PBEsol)

Data for an optimized crystal structure of TlSbO3.

* size of the total moment: 0.00 μB per cell
* SG: No. 163
* formation energy (no corrections): -1279.2 meV per atom
* DFT total energy: -5.8663 eV/atom

a b c (Å): 5.353 5.353 14.271
angles (deg): 90.00 90.00 120.00
Sites, in units of the cell vectors:
Tl (0.333, 0.667, 0.067)
Tl (0.333, 0.667, 0.433)
Tl (0.667, 0.333, 0.567)
Tl (0.667, 0.333, 0.933)
Sb (0.000, 0.000, 0.250)
Sb (0.000, 0.000, 0.750)
Sb (0.333, 0.667, 0.750)
Sb (0.667, 0.333, 0.250)
O (0.048, 0.333, 0.829)
O (0.048, 0.715, 0.671)
O (0.285, 0.333, 0.671)
O (0.285, 0.952, 0.829)
O (0.333, 0.048, 0.329)
O (0.333, 0.285, 0.171)
O (0.667, 0.715, 0.829)
O (0.667, 0.952, 0.671)
O (0.715, 0.048, 0.171)
O (0.715, 0.667, 0.329)
O (0.952, 0.285, 0.329)
O (0.952, 0.667, 0.171)

# 5
## Tl5SbO5 (GGA-PBEsol)

Data for an optimized crystal structure of Tl5SbO5.

* size of the total moment: 0.00 μB per cell
* SG: No. 36
* formation energy (no corrections): -919.1 meV per atom
* DFT total energy: -4.9149 eV/atom

a b c (Å): 7.944 7.944 13.601
angles (deg): 90.00 90.00 95.11
Sites, in units of the cell vectors:
Tl (0.013, 0.987, 0.610)
Tl (0.098, 0.579, 0.000)
Tl (0.129, 0.537, 0.251)
Tl (0.143, 0.181, 0.861)
Tl (0.181, 0.143, 0.361)
Tl (0.233, 0.767, 0.765)
Tl (0.299, 0.374, 0.622)
Tl (0.374, 0.299, 0.122)
Tl (0.421, 0.902, 0.000)
Tl (0.463, 0.871, 0.251)
Tl (0.537, 0.129, 0.751)
Tl (0.579, 0.098, 0.500)
Tl (0.626, 0.701, 0.622)
Tl (0.701, 0.626, 0.122)
Tl (0.767, 0.233, 0.265)
Tl (0.819, 0.857, 0.861)
Tl (0.857, 0.819, 0.361)
Tl (0.871, 0.463, 0.751)
Tl (0.902, 0.421, 0.500)
Tl (0.987, 0.013, 0.110)
Sb (0.253, 0.747, 0.471)
Sb (0.491, 0.509, 0.885)
Sb (0.509, 0.491, 0.385)
Sb (0.747, 0.253, 0.971)
O (0.009, 0.723, 0.506)
O (0.190, 0.810, 0.333)
O (0.245, 0.483, 0.851)
O (0.255, 0.498, 0.425)
O (0.277, 0.991, 0.506)
O (0.322, 0.678, 0.605)
O (0.433, 0.567, 0.022)
O (0.446, 0.554, 0.248)
O (0.483, 0.245, 0.351)
O (0.498, 0.255, 0.925)
O (0.502, 0.745, 0.425)
O (0.517, 0.755, 0.851)
O (0.554, 0.446, 0.748)
O (0.567, 0.433, 0.522)
O (0.678, 0.322, 0.105)
O (0.723, 0.009, 0.006)
O (0.745, 0.502, 0.925)
O (0.755, 0.517, 0.351)
O (0.810, 0.190, 0.833)
O (0.991, 0.277, 0.006)

# 6
## Tl2Sb3O9 (GGA-PBEsol)

Data for an optimized crystal structure of Tl2Sb3O9.

* size of the total moment: 0.00 μB per cell
* SG: No. 201
* formation energy (no corrections): -1190.0 meV per atom
* DFT total energy: -5.9169 eV/atom

a b c (Å): 9.432 9.432 9.432
angles (deg): 90.00 90.00 90.00
Sites, in units of the cell vectors:
Tl (0.113, 0.113, 0.113)
Tl (0.113, 0.387, 0.387)
Tl (0.387, 0.113, 0.387)
Tl (0.387, 0.387, 0.113)
Tl (0.613, 0.613, 0.887)
Tl (0.613, 0.887, 0.613)
Tl (0.887, 0.613, 0.613)
Tl (0.887, 0.887, 0.887)
Sb (0.086, 0.250, 0.750)
Sb (0.250, 0.586, 0.750)
Sb (0.250, 0.750, 0.086)
Sb (0.250, 0.750, 0.414)
Sb (0.250, 0.914, 0.750)
Sb (0.414, 0.250, 0.750)
Sb (0.586, 0.750, 0.250)
Sb (0.750, 0.086, 0.250)
Sb (0.750, 0.250, 0.586)
Sb (0.750, 0.250, 0.914)
Sb (0.750, 0.414, 0.250)
Sb (0.914, 0.750, 0.250)
O (0.038, 0.744, 0.419)
O (0.038, 0.756, 0.081)
O (0.081, 0.038, 0.756)
O (0.081, 0.462, 0.744)
O (0.112, 0.750, 0.750)
O (0.244, 0.581, 0.538)
O (0.244, 0.919, 0.962)
O (0.250, 0.250, 0.612)
O (0.250, 0.250, 0.888)
O (0.250, 0.612, 0.250)
O (0.250, 0.888, 0.250)
O (0.256, 0.581, 0.962)
O (0.256, 0.919, 0.538)
O (0.388, 0.750, 0.750)
O (0.419, 0.038, 0.744)
O (0.419, 0.462, 0.756)
O (0.462, 0.744, 0.081)
O (0.462, 0.756, 0.419)
O (0.538, 0.244, 0.581)
O (0.538, 0.256, 0.919)
O (0.581, 0.538, 0.244)
O (0.581, 0.962, 0.256)
O (0.612, 0.250, 0.250)
O (0.744, 0.081, 0.462)
O (0.744, 0.419, 0.038)
O (0.750, 0.112, 0.750)
O (0.750, 0.388, 0.750)
O (0.750, 0.750, 0.112)
O (0.750, 0.750, 0.388)
O (0.756, 0.081, 0.038)
O (0.756, 0.419, 0.462)
O (0.888, 0.250, 0.250)
O (0.919, 0.538, 0.256)
O (0.919, 0.962, 0.244)
O (0.962, 0.244, 0.919)
O (0.962, 0.256, 0.581)

# 7
## TlSb2O6 (GGA-PBEsol)

Data for an optimized crystal structure of TlSb2O6.

* size of the total moment: 0.00 μB per cell
* SG: No. 74
* formation energy (no corrections): -1142.6 meV per atom
* DFT total energy: -5.9471 eV/atom

a b c (Å): 7.348 7.348 7.348
angles (deg): 120.56 120.44 89.14
Sites, in units of the cell vectors:
Tl (0.500, 0.000, 0.000)
Tl (0.500, 0.500, 0.500)
Sb (0.000, 0.000, 0.000)
Sb (0.000, 0.000, 0.500)
Sb (0.000, 0.500, 0.000)
Sb (0.500, 0.000, 0.500)
O (0.067, 0.317, 0.750)
O (0.085, 0.325, 0.155)
O (0.085, 0.931, 0.760)
O (0.323, 0.073, 0.250)
O (0.330, 0.069, 0.655)
O (0.330, 0.675, 0.260)
O (0.670, 0.325, 0.740)
O (0.670, 0.931, 0.345)
O (0.677, 0.927, 0.750)
O (0.915, 0.069, 0.240)
O (0.915, 0.675, 0.845)
O (0.933, 0.683, 0.250)

# 8
## TlSbWO6 (GGA-PBEsol)

Data for an optimized crystal structure of TlSbWO6.

* size of the total moment: 0.00 μB per cell
* SG: No. 46
* formation energy (no corrections): -1669.2 meV per atom
* DFT total energy: -7.5015 eV/atom

a b c (Å): 7.290 7.290 7.290
angles (deg): 120.40 90.85 118.63
Sites, in units of the cell vectors:
Tl (0.154, 0.250, 0.404)
Tl (0.846, 0.750, 0.596)
Sb (0.391, 0.391, 0.000)
Sb (0.391, 0.891, 0.500)
W (0.426, 0.917, 0.010)
W (0.907, 0.417, 0.990)
O (0.072, 0.264, 0.936)
O (0.072, 0.636, 0.308)
O (0.088, 0.648, 0.940)
O (0.304, 0.132, 0.672)
O (0.328, 0.136, 0.064)
O (0.328, 0.764, 0.692)
O (0.455, 0.019, 0.310)
O (0.455, 0.645, 0.936)
O (0.460, 0.632, 0.328)
O (0.708, 0.148, 0.060)
O (0.709, 0.145, 0.690)
O (0.709, 0.519, 0.064)